Entry from the Alexandria database: an optimized crystal structure of TaCoNF2 (PBE+U).

Unit cell a=3.4632 b=3.4632 c=5.6431 alpha=90.00 beta=90.00 gamma=90.00
Closest atoms and distances in Å follow each position.
Sites, in units of the cell vectors:
Ta 0.5000 0.5000 0.5000  4 N 2.45
Co 0.0000 0.0000 0.0000  4 F 1.73
F 0.0000 0.5000 0.0000  2 Co 1.73
F 0.5000 0.0000 0.0000  2 Co 1.73
N 0.0000 0.0000 0.5000  4 Ta 2.45

Computed properties:
For the raw total energy, the calculation gives -5.9931 eV per atom. The value obtained for the polymorph energy (0 for the lowest one) is 0.731 eV per atom. For the density of states at the Fermi level, the calculation gives 2.09 states/eV/cell. Its calculated density is 7.2 g/cm3. The symmetry is No. 123.